1.
Entry from the Alexandria database: a relaxed ZrCuSn crystal (GGA-PBE).

Output
magnetic moment = 0.00 μB/f.u.
total energy = -5.94 eV per atom
Fermi-level density of states = 0.4595 states/eV per atom
space group = Pnma
formation energy from the elements = -0.3946 eV/atom

```
data_ZrCuSn
_chemical_formula_sum 'Zr4 Cu4 Sn4'
_symmetry_space_group_name_H-M 'P 1'
_symmetry_Int_Tables_number 1
_cell_length_a 6.6751
_cell_length_b 4.4115
_cell_length_c 7.7432
_cell_angle_alpha 90.00
_cell_angle_beta 90.00
_cell_angle_gamma 90.00
loop_
_symmetry_equiv_pos_as_xyz
'x,y,z'
loop_
_atom_site_label
_atom_site_fract_x
_atom_site_fract_y
_atom_site_fract_z
Zr1 0.9999 0.2500 0.2201
Zr2 0.0001 0.7500 0.7799
Zr3 0.4999 0.2500 0.2799
Zr4 0.5001 0.7500 0.7201
Cu1 0.1974 0.2500 0.5846
Cu2 0.3026 0.7500 0.0846
Cu3 0.6974 0.2500 0.9154
Cu4 0.8026 0.7500 0.4154
Sn1 0.2256 0.7500 0.4129
Sn2 0.2744 0.2500 0.9129
Sn3 0.7256 0.7500 0.0871
Sn4 0.7744 0.2500 0.5871
```

***

2.
Entry from the Alexandria database: a relaxed ZrCu2Sn crystal (GGA-PBE).

Output
magnetic moment = 0.00 μB/f.u.
total energy = -5.02 eV per atom
Fermi-level density of states = 0.8103 states/eV per atom
space group = I-42d
formation energy from the elements = 0.1649 eV/atom

```
data_ZrCu2Sn
_chemical_formula_sum 'Zr2 Cu4 Sn2'
_symmetry_space_group_name_H-M 'P 1'
_symmetry_Int_Tables_number 1
_cell_length_a 9.7255
_cell_length_b 9.7255
_cell_length_c 9.7255
_cell_angle_alpha 155.67
_cell_angle_beta 155.67
_cell_angle_gamma 34.68
loop_
_symmetry_equiv_pos_as_xyz
'x,y,z'
loop_
_atom_site_label
_atom_site_fract_x
_atom_site_fract_y
_atom_site_fract_z
Zr1 0.0000 0.0000 0.0000
Zr2 0.7500 0.2500 0.5000
Cu1 0.1525 0.6250 0.0275
Cu2 0.3750 0.4025 0.5275
Cu3 0.5975 0.1250 0.9725
Cu4 0.8750 0.8475 0.4725
Sn1 0.2500 0.7500 0.5000
Sn2 0.5000 0.5000 0.0000
```

***

3.
Entry from the Alexandria database: a relaxed Zr2CuSn crystal (GGA-PBE).

Output
magnetic moment = 0.00 μB/f.u.
total energy = -6.59 eV per atom
Fermi-level density of states = 0.7575 states/eV per atom
space group = P4/mmm
formation energy from the elements = -0.2959 eV/atom

```
data_Zr2CuSn
_chemical_formula_sum 'Zr2 Cu1 Sn1'
_symmetry_space_group_name_H-M 'P 1'
_symmetry_Int_Tables_number 1
_cell_length_a 4.3525
_cell_length_b 4.3525
_cell_length_c 4.2081
_cell_angle_alpha 90.00
_cell_angle_beta 90.00
_cell_angle_gamma 90.00
loop_
_symmetry_equiv_pos_as_xyz
'x,y,z'
loop_
_atom_site_label
_atom_site_fract_x
_atom_site_fract_y
_atom_site_fract_z
Zr1 0.0000 0.5000 0.0000
Zr2 0.5000 0.0000 0.0000
Cu1 0.0000 0.0000 0.5000
Sn1 0.5000 0.5000 0.5000
```

***

4.
Entry from the Alexandria database: a relaxed ZrCu2Sn crystal (GGA-PBE).

Output
magnetic moment = 0.00 μB/f.u.
total energy = -5.38 eV per atom
Fermi-level density of states = 0.8549 states/eV per atom
space group = P4/mmm
formation energy from the elements = -0.1929 eV/atom

```
data_ZrCu2Sn
_chemical_formula_sum 'Zr1 Cu2 Sn1'
_symmetry_space_group_name_H-M 'P 1'
_symmetry_Int_Tables_number 1
_cell_length_a 4.1623
_cell_length_b 4.1623
_cell_length_c 4.0153
_cell_angle_alpha 90.00
_cell_angle_beta 90.00
_cell_angle_gamma 90.00
loop_
_symmetry_equiv_pos_as_xyz
'x,y,z'
loop_
_atom_site_label
_atom_site_fract_x
_atom_site_fract_y
_atom_site_fract_z
Zr1 0.0000 0.0000 0.0000
Cu1 0.0000 0.5000 0.5000
Cu2 0.5000 0.0000 0.5000
Sn1 0.5000 0.5000 0.0000
```

***

5.
Entry from the Alexandria database: a relaxed Zr3CuSn crystal (GGA-PBE).

Output
magnetic moment = 0.00 μB/f.u.
total energy = -6.81 eV per atom
Fermi-level density of states = 0.6619 states/eV per atom
distance to the lowest polymorph of the same formula = 0 meV/atom
space group = P6_3/mmc
formation energy from the elements = -0.0565 eV/atom

```
data_Zr3CuSn
_chemical_formula_sum 'Zr6 Cu2 Sn2'
_symmetry_space_group_name_H-M 'P 1'
_symmetry_Int_Tables_number 1
_cell_length_a 6.8122
_cell_length_b 6.8122
_cell_length_c 5.4261
_cell_angle_alpha 90.00
_cell_angle_beta 90.00
_cell_angle_gamma 120.00
loop_
_symmetry_equiv_pos_as_xyz
'x,y,z'
loop_
_atom_site_label
_atom_site_fract_x
_atom_site_fract_y
_atom_site_fract_z
Zr1 0.1860 0.3720 0.2500
Zr2 0.1860 0.8140 0.2500
Zr3 0.3720 0.1860 0.7500
Zr4 0.6280 0.8140 0.2500
Zr5 0.8140 0.1860 0.7500
Zr6 0.8140 0.6280 0.7500
Cu1 0.0000 0.0000 0.0000
Cu2 0.0000 0.0000 0.5000
Sn1 0.3333 0.6667 0.7500
Sn2 0.6667 0.3333 0.2500
```

***

6.
Entry from the Alexandria database: a relaxed ZrCuSn3 crystal (GGA-PBE).

Output
magnetic moment = 0.00 μB/f.u.
total energy = -4.22 eV per atom
Fermi-level density of states = 1.1529 states/eV per atom
distance to the lowest polymorph of the same formula = 282 meV/atom
space group = Pm-3m
formation energy from the elements = 0.7116 eV/atom

```
data_ZrCuSn3
_chemical_formula_sum 'Zr1 Cu1 Sn3'
_symmetry_space_group_name_H-M 'P 1'
_symmetry_Int_Tables_number 1
_cell_length_a 5.5580
_cell_length_b 5.5580
_cell_length_c 5.5580
_cell_angle_alpha 90.00
_cell_angle_beta 90.00
_cell_angle_gamma 90.00
loop_
_symmetry_equiv_pos_as_xyz
'x,y,z'
loop_
_atom_site_label
_atom_site_fract_x
_atom_site_fract_y
_atom_site_fract_z
Zr1 0.0000 0.0000 0.0000
Cu1 0.5000 0.5000 0.5000
Sn1 0.0000 0.0000 0.5000
Sn2 0.0000 0.5000 0.0000
Sn3 0.5000 0.0000 0.0000
```

***

7.
Entry from the Alexandria database: a relaxed Zr3CuSn crystal (GGA-PBE).

Output
magnetic moment = 0.00 μB/f.u.
total energy = -6.60 eV per atom
Fermi-level density of states = 1.0038 states/eV per atom
distance to the lowest polymorph of the same formula = 209 meV/atom
space group = Pm-3m
formation energy from the elements = 0.1524 eV/atom

```
data_Zr3CuSn
_chemical_formula_sum 'Zr3 Cu1 Sn1'
_symmetry_space_group_name_H-M 'P 1'
_symmetry_Int_Tables_number 1
_cell_length_a 4.9118
_cell_length_b 4.9118
_cell_length_c 4.9118
_cell_angle_alpha 90.00
_cell_angle_beta 90.00
_cell_angle_gamma 90.00
loop_
_symmetry_equiv_pos_as_xyz
'x,y,z'
loop_
_atom_site_label
_atom_site_fract_x
_atom_site_fract_y
_atom_site_fract_z
Zr1 0.0000 0.0000 0.5000
Zr2 0.0000 0.5000 0.0000
Zr3 0.5000 0.0000 0.0000
Cu1 0.0000 0.0000 0.0000
Sn1 0.5000 0.5000 0.5000
```

***

8.
Entry from the Alexandria database: a relaxed Zr4CuSn crystal (GGA-PBE).

Output
magnetic moment = 0.00 μB/f.u.
total energy = -7.28 eV per atom
Fermi-level density of states = 1.2328 states/eV per atom
space group = P4/mcc
formation energy from the elements = -0.2341 eV/atom

```
data_Zr4CuSn
_chemical_formula_sum 'Zr8 Cu2 Sn2'
_symmetry_space_group_name_H-M 'P 1'
_symmetry_Int_Tables_number 1
_cell_length_a 6.7589
_cell_length_b 6.7589
_cell_length_c 5.6254
_cell_angle_alpha 90.00
_cell_angle_beta 90.00
_cell_angle_gamma 90.00
loop_
_symmetry_equiv_pos_as_xyz
'x,y,z'
loop_
_atom_site_label
_atom_site_fract_x
_atom_site_fract_y
_atom_site_fract_z
Zr1 0.1412 0.3326 0.0000
Zr2 0.1412 0.6674 0.5000
Zr3 0.3326 0.1412 0.5000
Zr4 0.3326 0.8588 0.0000
Zr5 0.6674 0.1412 0.0000
Zr6 0.6674 0.8588 0.5000
Zr7 0.8588 0.3326 0.5000
Zr8 0.8588 0.6674 0.0000
Cu1 0.0000 0.0000 0.2500
Cu2 0.0000 0.0000 0.7500
Sn1 0.5000 0.5000 0.2500
Sn2 0.5000 0.5000 0.7500
```

***

9.
Entry from the Alexandria database: a relaxed Zr2CuSn crystal (GGA-PBE).

Output
magnetic moment = 0.00 μB/f.u.
total energy = -6.32 eV per atom
Fermi-level density of states = 0.6536 states/eV per atom
space group = I-42d
formation energy from the elements = -0.0186 eV/atom

```
data_Zr2CuSn
_chemical_formula_sum 'Zr4 Cu2 Sn2'
_symmetry_space_group_name_H-M 'P 1'
_symmetry_Int_Tables_number 1
_cell_length_a 6.1366
_cell_length_b 6.1366
_cell_length_c 6.1366
_cell_angle_alpha 103.18
_cell_angle_beta 103.18
_cell_angle_gamma 122.97
loop_
_symmetry_equiv_pos_as_xyz
'x,y,z'
loop_
_atom_site_label
_atom_site_fract_x
_atom_site_fract_y
_atom_site_fract_z
Zr1 0.0974 0.6250 0.9724
Zr2 0.3750 0.3474 0.4724
Zr3 0.6526 0.1250 0.0276
Zr4 0.8750 0.9026 0.5276
Cu1 0.0000 0.0000 0.0000
Cu2 0.7500 0.2500 0.5000
Sn1 0.2500 0.7500 0.5000
Sn2 0.5000 0.5000 0.0000
```

***

10.
Entry from the Alexandria database: a relaxed ZrCuSn crystal (GGA-PBE).

Output
magnetic moment = 0.00 μB/f.u.
total energy = -5.73 eV per atom
Fermi-level density of states = 0.6825 states/eV per atom
space group = I4mm
formation energy from the elements = -0.1788 eV/atom

```
data_ZrCuSn
_chemical_formula_sum 'Zr1 Cu1 Sn1'
_symmetry_space_group_name_H-M 'P 1'
_symmetry_Int_Tables_number 1
_cell_length_a 5.9989
_cell_length_b 5.9989
_cell_length_c 5.9989
_cell_angle_alpha 148.74
_cell_angle_beta 148.74
_cell_angle_gamma 44.80
loop_
_symmetry_equiv_pos_as_xyz
'x,y,z'
loop_
_atom_site_label
_atom_site_fract_x
_atom_site_fract_y
_atom_site_fract_z
Zr1 0.0000 0.0000 0.0000
Cu1 0.3483 0.3483 0.0000
Sn1 0.6999 0.6999 0.0000
```

***

11.
Entry from the Alexandria database: a relaxed Zr8CuSn2 crystal (GGA-PBE).

Output
magnetic moment = 0.00 μB/f.u.
total energy = -7.47 eV per atom
Fermi-level density of states = 1.1482 states/eV per atom
space group = C2/m
formation energy from the elements = -0.1570 eV/atom

```
data_Zr8CuSn2
_chemical_formula_sum 'Zr8 Cu1 Sn2'
_symmetry_space_group_name_H-M 'P 1'
_symmetry_Int_Tables_number 1
_cell_length_a 9.5081
_cell_length_b 9.5081
_cell_length_c 5.9367
_cell_angle_alpha 106.58
_cell_angle_beta 106.58
_cell_angle_gamma 28.98
loop_
_symmetry_equiv_pos_as_xyz
'x,y,z'
loop_
_atom_site_label
_atom_site_fract_x
_atom_site_fract_y
_atom_site_fract_z
Zr1 0.0201 0.0201 0.2666
Zr2 0.2278 0.2278 0.8321
Zr3 0.3539 0.3539 0.4670
Zr4 0.4124 0.4124 0.0093
Zr5 0.5876 0.5876 0.9907
Zr6 0.6461 0.6461 0.5330
Zr7 0.7722 0.7722 0.1679
Zr8 0.9799 0.9799 0.7334
Cu1 0.5000 0.5000 0.5000
Sn1 0.1807 0.1807 0.2690
Sn2 0.8193 0.8193 0.7310
```

***

12.
Entry from the Alexandria database: a relaxed ZrCuSn3 crystal (GGA-PBE).

Output
magnetic moment = 0.00 μB/f.u.
total energy = -4.50 eV per atom
Fermi-level density of states = 0.8047 states/eV per atom
distance to the lowest polymorph of the same formula = 0 meV/atom
space group = Pm-3m
formation energy from the elements = 0.4297 eV/atom

```
data_ZrCuSn3
_chemical_formula_sum 'Zr1 Cu1 Sn3'
_symmetry_space_group_name_H-M 'P 1'
_symmetry_Int_Tables_number 1
_cell_length_a 5.0196
_cell_length_b 5.0196
_cell_length_c 5.0196
_cell_angle_alpha 90.00
_cell_angle_beta 90.00
_cell_angle_gamma 90.00
loop_
_symmetry_equiv_pos_as_xyz
'x,y,z'
loop_
_atom_site_label
_atom_site_fract_x
_atom_site_fract_y
_atom_site_fract_z
Zr1 0.0000 0.0000 0.0000
Cu1 0.5000 0.5000 0.5000
Sn1 0.0000 0.5000 0.5000
Sn2 0.5000 0.0000 0.5000
Sn3 0.5000 0.5000 0.0000
```

***

13.
Entry from the Alexandria database: a relaxed ZrCu3Sn crystal (GGA-PBE).

Output
magnetic moment = 0.00 μB/f.u.
total energy = -4.23 eV per atom
Fermi-level density of states = 0.7102 states/eV per atom
space group = Pm-3m
formation energy from the elements = 0.7380 eV/atom

```
data_ZrCu3Sn
_chemical_formula_sum 'Zr1 Cu3 Sn1'
_symmetry_space_group_name_H-M 'P 1'
_symmetry_Int_Tables_number 1
_cell_length_a 4.6747
_cell_length_b 4.6747
_cell_length_c 4.6747
_cell_angle_alpha 90.00
_cell_angle_beta 90.00
_cell_angle_gamma 90.00
loop_
_symmetry_equiv_pos_as_xyz
'x,y,z'
loop_
_atom_site_label
_atom_site_fract_x
_atom_site_fract_y
_atom_site_fract_z
Zr1 0.0000 0.0000 0.0000
Cu1 0.0000 0.5000 0.5000
Cu2 0.5000 0.0000 0.5000
Cu3 0.5000 0.5000 0.0000
Sn1 0.5000 0.5000 0.5000
```